1.
VASP calculation (PBE) on YMo3C after structural relaxation.

Values from the calculation:
* crystal system: cubic
* space-group type: No. 221
* ΔH_f (0 K): 3815.9 meV per atom
* magnetization: 0.00 μB per formula unit
* DOS at the Fermi energy: 6.5 states/eV per cell
* calculated density: 5.9 g/cm³

```
5
Lattice="4.792 0.000 0.000 0.000 4.792 0.000 0.000 0.000 4.792" Properties=species:S:1:pos:R:3 pbc="T T T"
Y 0.000 0.000 0.000
Mo 0.000 0.000 2.396
Mo 0.000 2.396 0.000
Mo 2.396 0.000 0.000
C 2.396 2.396 2.396
```



2.
VASP calculation (PBE) on YMoC3 after structural relaxation.

Values from the calculation:
* crystal system: cubic
* space-group type: No. 221
* ΔH_f (0 K): 822.1 meV per atom
* magnetization: 0.00 μB per formula unit
* DOS at the Fermi energy: 2.4 states/eV per cell
* calculated density: 5.4 g/cm³

```
5
Lattice="4.076 0.000 0.000 0.000 4.076 0.000 0.000 0.000 4.076" Properties=species:S:1:pos:R:3 pbc="T T T"
Y 0.000 0.000 0.000
Mo 2.038 2.038 2.038
C 0.000 2.038 2.038
C 2.038 0.000 2.038
C 2.038 2.038 0.000
```



3.
VASP calculation (PBE) on YMo3C after structural relaxation.

Values from the calculation:
* crystal system: cubic
* space-group type: No. 221
* ΔH_f (0 K): 202.2 meV per atom
* magnetization: 0.00 μB per formula unit
* DOS at the Fermi energy: 5.6 states/eV per cell
* calculated density: 8.0 g/cm³

```
5
Lattice="4.316 0.000 0.000 0.000 4.316 0.000 0.000 0.000 4.316" Properties=species:S:1:pos:R:3 pbc="T T T"
Y 0.000 0.000 0.000
Mo 0.000 2.158 2.158
Mo 2.158 0.000 2.158
Mo 2.158 2.158 0.000
C 2.158 2.158 2.158
```



4.
VASP calculation (PBE) on Y3MoC3 after structural relaxation.

Values from the calculation:
* crystal system: orthorhombic
* space-group type: No. 63
* ΔH_f (0 K): -321.4 meV per atom
* magnetization: 0.00 μB per formula unit
* DOS at the Fermi energy: 7.4 states/eV per cell
* calculated density: 5.5 g/cm³

```
14
Lattice="4.434 -5.281 0.000 4.434 5.281 0.000 0.000 0.000 5.157" Properties=species:S:1:pos:R:3 pbc="T T T"
Y 4.434 4.123 3.868
Y 2.508 1.235 3.868
Y 2.508 -1.235 1.289
Y 6.360 1.235 3.868
Y 6.360 -1.235 1.289
Y 4.434 -4.123 1.289
Mo 4.434 2.008 1.289
Mo 4.434 -2.008 3.868
C 4.434 3.969 1.289
C 2.592 1.274 1.289
C 2.592 -1.274 3.868
C 6.276 1.274 1.289
C 6.276 -1.274 3.868
C 4.434 -3.969 3.868
```



5.
VASP calculation (PBE) on Y2ZnMoC after structural relaxation.

Values from the calculation:
* crystal system: tetragonal
* space-group type: No. 123
* ΔH_f (0 K): 1617.9 meV per atom
* magnetization: 1.74 μB per formula unit
* DOS at the Fermi energy: 3.1 states/eV per cell
* calculated density: 4.4 g/cm³

```
5
Lattice="5.240 0.000 0.000 0.000 5.240 0.000 0.000 0.000 4.798" Properties=species:S:1:pos:R:3 pbc="T T T"
Y 0.000 2.620 0.000
Y 2.620 0.000 0.000
Zn 0.000 0.000 2.399
Mo 0.000 0.000 0.000
C 2.620 2.620 2.399
```



6.
VASP calculation (PBE) on Y2ZnMoC after structural relaxation.

Values from the calculation:
* crystal system: tetragonal
* space-group type: No. 123
* ΔH_f (0 K): -145.8 meV per atom
* magnetization: 0.02 μB per formula unit
* DOS at the Fermi energy: 6.4 states/eV per cell
* calculated density: 5.8 g/cm³

```
5
Lattice="4.952 0.000 0.000 0.000 4.952 0.000 0.000 0.000 4.072" Properties=species:S:1:pos:R:3 pbc="T T T"
Y 0.000 2.476 0.000
Y 2.476 0.000 0.000
Zn 0.000 0.000 2.036
Mo 2.476 2.476 2.036
C 2.476 2.476 0.000
```